A relaxed Fe2O2F5 crystal. Source: Alexandria via LeMat-Bulk, functional GGA+U.

Results
Spin magnetization (μB per formula unit): 11.00
Symmetry: No. 74
E_tot (eV per atom): -5.211

a b c (Å): 7.4253 7.4253 7.4253
angles (deg): 133.44 118.22 80.76
Last column: magnetic moment on the atom in μB.
Fractional coordinates of all 18 atoms:
O  0.4647  0.0459  0.5812  0.75
O  0.5353  0.9541  0.4188  0.75
O  0.0353  0.6165  0.5812  0.75
O  0.9647  0.3835  0.4188  0.75
F  0.1926  0.4092  0.8541  0.11
F  0.3074  0.1615  0.2166  0.11
F  0.5551  0.4092  0.2166  0.11
F  0.6926  0.8385  0.7834  0.11
F  0.7500  0.3925  0.6425  0.14
F  0.9449  0.1615  0.8541  0.11
F  0.4449  0.5908  0.7834  0.11
F  0.0551  0.8385  0.1459  0.11
F  0.2500  0.6075  0.3575  0.14
F  0.8074  0.5908  0.1459  0.11
Fe  0.0000  0.5000  0.0000  4.49
Fe  0.0000  0.0000  0.0000  3.95
Fe  0.5000  0.5000  0.0000  3.95
Fe  0.5000  0.5000  0.5000  4.49